Entry 1:
# ReNiAsBr2 | Alexandria via LeMat-Bulk | SCAN | single point on PBEsol structure
data_ReNiAsBr2
_chemical_formula_sum 'Re1 Ni1 As1 Br2'
_cell_length_a 5.0546
_cell_length_b 5.0546
_cell_length_c 4.6927
_cell_angle_alpha 90.00
_cell_angle_beta 90.00
_cell_angle_gamma 90.00
_symmetry_space_group_name_H-M 'P 4/m m m'
_symmetry_Int_Tables_number 123
_symmetry_space_group_name_Hall '-P 4 2'
loop_
_atom_site_label
_atom_site_type_symbol
_atom_site_fract_x
_atom_site_fract_y
_atom_site_fract_z
Re1 Re 0.0000 0.0000 0.0000
Ni1 Ni 0.5000 0.5000 0.5000
As1 As 0.0000 0.0000 0.5000
Br1 Br 0.0000 0.5000 0.0000
# - Formation energy from raw total energies: 1.063 eV per atom
# - Raw total energy: -28.213 eV/atom
# - Calculated density: 6643 kg/m3
# - DOS(E_F): 4.1 states/eV/f.u.

***

Entry 2:
# Br3Cl | Alexandria via LeMat-Bulk | SCAN | single point on PBEsol structure
data_Br3Cl
_chemical_formula_sum 'Br3 Cl1'
_cell_length_a 3.6210
_cell_length_b 3.6210
_cell_length_c 6.9653
_cell_angle_alpha 90.00
_cell_angle_beta 90.00
_cell_angle_gamma 90.00
_symmetry_space_group_name_H-M 'P 4/m m m'
_symmetry_Int_Tables_number 123
_symmetry_space_group_name_Hall '-P 4 2'
loop_
_atom_site_label
_atom_site_type_symbol
_atom_site_fract_x
_atom_site_fract_y
_atom_site_fract_z
Br1 Br 0.0000 0.0000 0.0000
Br2 Br 0.5000 0.5000 0.2482
Cl1 Cl 0.0000 0.0000 0.5000
# - Formation energy from raw total energies: 0.737 eV per atom
# - Raw total energy: -15.853 eV/atom
# - Calculated density: 5003 kg/m3
# - DOS(E_F): 6.4 states/eV/f.u.

***

Entry 3:
# NiPtW | Alexandria via LeMat-Bulk | SCAN | single point on PBEsol structure
data_NiPtW
_chemical_formula_sum 'Ni2 Pt2 W2'
_cell_length_a 2.7128
_cell_length_b 3.7613
_cell_length_c 7.9876
_cell_angle_alpha 90.00
_cell_angle_beta 90.00
_cell_angle_gamma 90.00
_symmetry_space_group_name_H-M 'I m m 2'
_symmetry_Int_Tables_number 44
loop_
_symmetry_equiv_pos_as_xyz
'x,y,z'
'-x,-y,z'
'-x,y,z'
'x,-y,z'
'x+1/2,y+1/2,z+1/2'
'-x+1/2,-y+1/2,z+1/2'
'-x+1/2,y+1/2,z+1/2'
'x+1/2,-y+1/2,z+1/2'
loop_
_atom_site_label
_atom_site_type_symbol
_atom_site_fract_x
_atom_site_fract_y
_atom_site_fract_z
Ni1 Ni 0.0000 0.0000 0.0000
Pt1 Pt 0.0000 0.0000 0.6692
W1 W 0.0000 0.0000 0.3416
# - Formation energy: -0.773 eV per formula unit
# - Raw total energy: -52.276 eV/atom
# - Calculated density: 17832 kg/m3
# - DOS(E_F): 1.6 states/eV/f.u.